# Li3Br2 (PBE, relaxed)
data_Li3Br2
_chemical_formula_sum 'Li3 Br2'
_cell_length_a 9.549
_cell_length_b 9.549
_cell_length_c 9.549
_cell_angle_alpha 22.89
_cell_angle_beta 22.89
_cell_angle_gamma 22.89
_symmetry_space_group_name_H-M 'P 1'
_symmetry_Int_Tables_number 1
loop_
_symmetry_equiv_pos_as_xyz
'x,y,z'
loop_
_atom_site_label
_atom_site_type_symbol
_atom_site_fract_x
_atom_site_fract_y
_atom_site_fract_z
Li1 Li 0.000 0.000 0.000
Li2 Li 0.218 0.218 0.218
Li3 Li 0.782 0.782 0.782
Br1 Br 0.392 0.392 0.392
Br2 Br 0.608 0.608 0.608
# total magnetization: 0.0 Bohr magnetons per cell
# E: -2.9354 eV per atom
# raw formation energy: -1.1180 eV per atom